1.
# KPIrAuO

An optimized crystal structure of KPIrAuO (PBE, the Alexandria database).

formation energy (no corrections) = -2.26 eV/f.u.
space group = Cm, No. 8
total DFT energy (no corrections) = -25.86 eV per cell
polymorph energy (0 for the lowest one) = 0.340 eV per atom
DOS at the Fermi energy = 0.98 states/eV/f.u.

The structure in POSCAR format:
```
KPIrAuO
1.0
5.250 -2.006 0.000
5.250 2.006 0.000
-1.864 0.000 5.167
K P Ir Au O
1 1 1 1 1
direct
0.000 0.000 0.000
0.336 0.336 0.380
0.251 0.251 0.675
0.570 0.570 0.521
0.269 0.269 0.076
```

***

2.
# LiAcAgAs2

An optimized crystal structure of LiAcAgAs2 (PBE, the Alexandria database).

space group = I-4m2, No. 119
total DFT energy (no corrections) = -21.98 eV per cell
energy relative to the elements = -73.5 kJ/mol of atoms
DOS at the Fermi energy = 2.56 states/eV/f.u.

The structure in POSCAR format:
```
LiAcAgAs2
1.0
-2.139 2.139 6.064
2.139 -2.139 6.064
2.139 2.139 -6.064
Li Ac Ag As
1 1 1 2
direct
0.000 0.000 0.000
0.750 0.250 0.500
0.500 0.500 0.000
0.133 0.633 0.500
0.367 0.867 0.500
```